{"formula": "Cr2Mo", "functional": "PBEsol", "state": "relaxed", "cell": [[-0.2758, 2.9137, -0.1903], [-1.3432, -1.8823, -4.2714], [-4.6426, -0.2044, 3.5987]], "species": ["Cr", "Mo", "Mo", "Cr", "Cr", "Cr"], "frac_coords": [[0.8382, 0.6763, 0.4235], [0.1657, 0.3313, 0.0906], [0.8343, 0.6687, 0.9094], [0.5028, 0.0056, 0.2639], [0.4972, 0.9944, 0.7361], [0.1618, 0.3237, 0.5765]], "formation_enthalpy_0k_ev_per_atom": 0.09, "sg": "C2/m", "e_above_lowest_polymorph_mev_per_atom": 13, "rho_g_cm3": 8.78, "crystal_system": "monoclinic"}

{"formula": "CrMo", "functional": "PBEsol", "state": "relaxed", "cell": [[-1.4719, 2.1195, -1.5101], [-2.8281, -1.3530, 3.8173], [3.8663, 4.0997, 1.9858]], "species": ["Cr", "Cr", "Mo", "Mo", "Mo", "Cr"], "frac_coords": [[0.3597, 0.7194, 0.2270], [0.3577, 0.7154, 0.7143], [0.6996, 0.3993, 0.8906], [0.0275, 0.0549, 0.0608], [0.0235, 0.0469, 0.5488], [0.6987, 0.3975, 0.3919]], "formation_enthalpy_0k_ev_per_atom": 0.09, "sg": "Cm", "rho_g_cm3": 9.24, "crystal_system": "monoclinic"}

{"formula": "Cr5Mo", "functional": "PBEsol", "state": "relaxed", "cell": [[-1.3262, -0.4677, -2.5139], [3.3125, -1.8950, -1.3950], [-1.4756, -5.0603, 3.3701]], "species": ["Cr", "Cr", "Cr", "Cr", "Mo", "Cr"], "frac_coords": [[0.8302, 0.0000, 0.6605], [0.1698, 0.0000, 0.3395], [0.6717, 0.5000, 0.3434], [0.5000, 0.0000, 0.0000], [0.0000, 0.5000, 0.0000], [0.3283, 0.5000, 0.6566]], "formation_enthalpy_0k_ev_per_atom": 0.06, "sg": "Cmmm", "e_above_lowest_polymorph_mev_per_atom": 0, "rho_g_cm3": 8.29, "crystal_system": "orthorhombic"}